FeMoN2O: relaxed, GGA+U.

Geometry as extended XYZ:
```
5
Lattice="3.963 0.000 0.000 0.000 3.963 0.000 0.000 0.000 3.904" Properties=species:S:1:pos:R:3 pbc="T T T"
Fe 0.000 0.000 0.000
Mo 1.981 1.981 1.952
N 0.000 1.981 1.952
N 1.981 0.000 1.952
O 1.981 1.981 0.000
```

Calculated values
Its calculated total energy is -6.632 eV per atom. As for the crystal system: tetragonal. Its volume is 61.3 Å³/cell.